# 1
## CrOsAu2 (PBE)

Data for CrOsAu2 after structural relaxation.

Results
ΔH_f (0 K), eV/atom: 0.486
Polymorph energy (0 for the lowest one), meV/atom: 275.3
Magnetic moment, μB/f.u.: 1.7

Cell lengths 5.521, 5.540, 8.310 Å; angles 90.00, 90.00, 90.00 degrees
Space group Fmmm (No. 69)
Symmetry-distinct sites (fractional):
Cr1 0.000 0.000 0.000 x4
Os1 0.000 0.000 0.500 x4
Au1 0.250 0.250 0.250 x8


# 2
## Sm3AuN (PBE)

Data for Sm3AuN after structural relaxation.

Results
Polymorph energy (0 for the lowest one), meV/atom: 79.6
Magnetic moment, μB/f.u.: 0.0
ΔE_f (raw), eV/atom: -0.84

Cell lengths 4.890, 4.890, 4.890 Å; angles 90.00, 90.00, 90.00 degrees
Space group Pm-3m (No. 221)
Symmetry-distinct sites (fractional):
Sm1 0.000 0.000 0.500 x3
Au1 0.500 0.500 0.500 x1
N1 0.000 0.000 0.000 x1


# 3
## Ta2PAu (PBE)

Data for Ta2PAu after structural relaxation.

Results
ΔH_f (0 K), eV/atom: -0.228
Magnetic moment, μB/f.u.: 0.0

Cell lengths 3.4869, 3.4869, 20.3883 Å; angles 90.00, 90.00, 120.00 degrees
Space group R-3m (No. 166, hexagonal axes)
Symmetry-distinct sites (fractional):
Ta1 0.0000 0.0000 0.2323 x6
P1 0.0000 0.0000 0.5000 x3
Au1 0.0000 0.0000 0.0000 x3